The following is a DFT calculation (GGA-PBE) of a relaxed PmCuAg3 crystal.

Computed properties:
- Magnetization: 0.0 Bohr magnetons per cell
- ρ: 7.30 Mg/m³
- DFT total energy: -0.246 Ry/atom
- Volume: 24.19 Å³/atom

Unit cell a=5.3264 b=5.3264 c=17.0560 alpha=90.00 beta=90.00 gamma=90.00
Closest atoms and distances in Å follow each position.
Space group I-4m2 (No. 119)
Asymmetric unit:
Pm: 0.0000 0.0000 0.1862 (multiplicity 4)  2 Cu 2.88, 4 Ag 3.17
Cu: 0.0000 0.0000 0.5000 (multiplicity 2)  4 Ag 2.49
Cu: 0.0000 0.5000 0.7500 (multiplicity 2)  4 Ag 2.54
Ag: 0.0000 0.2470 0.6237 (multiplicity 8)  2 Cu 2.49-2.54, 2 Ag 2.63-2.70
Ag: 0.0000 0.5000 0.0529 (multiplicity 4)  2 Cu 2.81

The following is a DFT calculation (GGA-PBE) of a relaxed Pm2Cu2Ag3 crystal.

Computed properties:
- Magnetization: 0.0 Bohr magnetons per cell
- ρ: 8.48 Mg/m³
- DFT total energy: -0.290 Ry/atom
- Volume: 20.73 Å³/atom

Unit cell a=10.1992 b=4.0841 c=7.0274 alpha=90.00 beta=97.50 gamma=90.00
Closest atoms and distances in Å follow each position.
Space group C2/m (No. 12)
Asymmetric unit:
Pm: 0.1248 0.0000 0.3273 (multiplicity 4)  5 Cu 2.95-3.09, 5 Ag 3.21-3.29
Cu: 0.0846 0.5000 0.6448 (multiplicity 4)  1 Cu 2.49, 3 Ag 2.69-2.75
Ag: 0.0000 0.5000 0.0000 (multiplicity 2)  2 Cu 2.75, 4 Ag 3.03
Ag: 0.1869 0.0000 0.8660 (multiplicity 4)  2 Cu 2.69, 2 Ag 2.96

The following is a DFT calculation (GGA-PBE) of a relaxed Pm2CuAg2 crystal.

Computed properties:
- Magnetization: 0.0 Bohr magnetons per cell
- ρ: 8.01 Mg/m³
- DFT total energy: -0.301 Ry/atom
- Volume: 23.60 Å³/atom

Unit cell a=10.6186 b=4.0948 c=11.6538 alpha=90.00 beta=111.32 gamma=90.00
Closest atoms and distances in Å follow each position.
Space group C2/m (No. 12)
Asymmetric unit:
Pm: 0.0009 0.0000 0.3371 (multiplicity 4)  3 Cu 3.03-3.09, 7 Ag 3.19-3.34
Pm: 0.1884 0.0000 0.1175 (multiplicity 4)  5 Ag 3.01-3.31, 2 Cu 3.06
Cu: 0.2027 0.5000 0.3170 (multiplicity 4)  4 Ag 2.66-2.90
Ag: 0.0299 0.5000 0.8873 (multiplicity 4)  1 Cu 2.74, 1 Ag 2.92, 1 Pm 3.01
Ag: 0.1614 0.5000 0.5493 (multiplicity 4)  3 Cu 2.66-2.90